# 1
NiP: relaxed, PBE.

Calculated values
Total magnetization ... 0.00 Bohr magnetons per cell
Energy relative to the elements ... -0.167 eV per atom
Crystal system ... trigonal

abc: 3.812 3.812 3.812
angles: 43.55 43.55 43.55
Sites, in units of the cell vectors:
Ni (0.000, 0.000, 0.000)
P (0.500, 0.500, 0.500)

---

# 2
TlAs2IrSe: relaxed, PBE.

Calculated values
ΔE_f (raw) ... 0.325 eV per atom
Excess energy over the best structure of this formula in the dataset ... 0.000 eV per atom
Total magnetization ... 0.00 Bohr magnetons per cell
Crystal system ... tetragonal

abc: 4.742 4.742 5.640
angles: 90.00 90.00 90.00
Sites, in units of the cell vectors:
Tl (0.500, 0.500, 0.500)
Ir (0.000, 0.000, 0.000)
As (0.000, 0.500, 0.000)
As (0.500, 0.000, 0.000)
Se (0.000, 0.000, 0.500)

---

# 3
Zr2MnCo: relaxed, PBE.

Calculated values
Total magnetization ... 3.25 Bohr magnetons per cell
Energy relative to the elements ... 0.089 eV per atom
Crystal system ... cubic

abc: 4.536 4.536 4.536
angles: 60.00 60.00 60.00
Each line ends with the local moment (μB).
Sites, in units of the cell vectors:
Co (0.500, 0.500, 0.500)  1.17
Mn (0.750, 0.750, 0.750)  2.88
Zr (0.000, 0.000, 0.000)  -0.37
Zr (0.250, 0.250, 0.250)  -0.37